(1)
Below is Tb4Pm4Ho3 after structural relaxation, with properties calculated at the PBE-GGA level.

Cell lengths 3.5339, 5.6620, 18.1544 Å; angles 81.05, 84.40, 89.99 degrees
Positions (direct):
Tb 0.5458 0.5458 0.9090
Tb 0.4542 0.4542 0.0911
Tb 0.3196 0.8197 0.3604
Tb 0.6804 0.1803 0.6396
Pm 0.5903 0.0905 0.8195
Pm 0.2680 0.2677 0.4645
Pm 0.7321 0.7324 0.5355
Pm 0.4097 0.9095 0.1805
Ho 0.1359 0.6359 0.7286
Ho 0.8641 0.3642 0.2714
Ho 0.0000 0.0000 0.0000

Distance to the lowest polymorph of the same formula in eV per formula unit: 0.00

***

(2)
Below is NdSiN2 after structural relaxation, with properties calculated at the PBE-GGA level.

Cell lengths 4.4451, 5.6770, 5.6772 Å; angles 90.02, 89.85, 90.03 degrees
Positions (direct):
Nd 0.2218 0.7372 0.8242
Nd 0.7214 0.2373 0.3242
Si 0.4717 0.2372 0.8245
Si 0.9717 0.2371 0.8239
N 0.2208 0.3042 0.0516
N 0.2226 0.1702 0.5967
N 0.7221 0.4646 0.7572
N 0.7214 0.0098 0.8911

ΔE_f (raw) in eV per atom: -0.696

***

(3)
Below is Ba3Al3Cd8 after structural relaxation, with properties calculated at the PBE-GGA level.

Cell lengths 4.9813, 9.3209, 9.3209 Å; angles 69.86, 74.50, 74.50 degrees
Positions (direct):
Ba 0.5000 0.5000 0.5000
Ba 0.8022 0.1978 0.1978
Ba 0.1978 0.8022 0.8022
Al 0.5000 0.0000 0.0000
Al 0.0000 0.8097 0.1903
Al 0.0000 0.1903 0.8097
Cd 0.6253 0.0845 0.6648
Cd 0.3747 0.9155 0.3352
Cd 0.6253 0.6648 0.0845
Cd 0.3747 0.3352 0.9155
Cd 0.8401 0.8050 0.5148
Cd 0.1599 0.1950 0.4852
Cd 0.8401 0.5148 0.8050
Cd 0.1599 0.4852 0.1950

Distance to the lowest polymorph of the same formula in eV per formula unit: 0.13

***

Record order is preserved below.
Magnetization: 0.00; 0.00; 0.00 Bohr magnetons per cell
Record order is preserved below.
Total DFT energy (no corrections): -4.601; -7.407; -1.947 eV per atom